The following is a DFT calculation (PBE with a Hubbard U) of crystalline SrMoClO2 at its relaxed geometry.

Structure (extended XYZ):
```
5
Lattice="3.974 0.000 0.000 0.000 3.974 0.000 0.000 0.000 6.533" Properties=species:S:1:pos:R:3 pbc="T T T"
Sr 0.000 0.000 0.000
Mo 0.000 0.000 3.267
Cl 1.987 1.987 0.000
O 0.000 1.987 3.267
O 1.987 0.000 3.267
```

Computed properties:
DOS at the Fermi energy: 0.52 states/eV/f.u.
total moment: 1.000 μB/cell
uncorrected energy: -5.596 eV per atom
calculated volume: 20.6 Å³/atom